1.
Pr8Ge3Te4H | PBE-GGA | optimized geometry

Cell and atoms, written as CIF:
```
data_Pr8Ge3Te4H
_chemical_formula_sum 'Pr24 Ge9 Te12 H3'
_cell_length_a 8.7517
_cell_length_b 8.7517
_cell_length_c 21.9291
_cell_angle_alpha 90.00
_cell_angle_beta 90.00
_cell_angle_gamma 120.00
_symmetry_space_group_name_H-M 'R -3 m'
_symmetry_Int_Tables_number 166
_symmetry_space_group_name_Hall '-R 3 2"'
loop_
_atom_site_label
_atom_site_type_symbol
_atom_site_fract_x
_atom_site_fract_y
_atom_site_fract_z
_atom_site_occupancy
Pr1 Pr 0.0000 0.0000 0.2420 1
Pr2 Pr 0.0065 0.5033 0.7578 1
Ge1 Ge 0.0000 0.5000 0.5000 1
Te1 Te 0.0000 0.0000 0.0000 1
Te2 Te 0.0000 0.5000 0.0000 1
H1 H 0.0000 0.0000 0.5000 1
```

Computed properties:
Magnetization = 0.00 Bohr magnetons per cell
Total DFT energy (no corrections) = -5.357 eV/atom

---

2.
Ac4Cd5Ni2 | PBE-GGA | optimized geometry

Cell and atoms, written as CIF:
```
data_Ac4Cd5Ni2
_chemical_formula_sum 'Ac4 Cd5 Ni2'
_cell_length_a 7.9590
_cell_length_b 4.0698
_cell_length_c 9.8594
_cell_angle_alpha 90.00
_cell_angle_beta 94.71
_cell_angle_gamma 90.00
_symmetry_space_group_name_H-M 'P 1 2/m 1'
_symmetry_Int_Tables_number 10
_symmetry_space_group_name_Hall '-P 2y'
loop_
_atom_site_label
_atom_site_type_symbol
_atom_site_fract_x
_atom_site_fract_y
_atom_site_fract_z
_atom_site_occupancy
Ac1 Ac 0.1670 0.0000 0.3477 1
Ac2 Ac 0.2308 0.0000 0.9438 1
Cd1 Cd 0.1876 0.5000 0.6516 1
Cd2 Cd 0.4472 0.5000 0.1890 1
Cd3 Cd 0.5000 0.5000 0.5000 1
Ni1 Ni 0.0620 0.5000 0.1256 1
```

Computed properties:
Energy relative to the elements = -273 meV per atom
Magnetization = 0.00 Bohr magnetons per cell
Total DFT energy (no corrections) = -3.234 eV/atom

---

3.
MnB2Mo | PBE-GGA | optimized geometry

Cell and atoms, written as CIF:
```
data_MnB2Mo
_chemical_formula_sum 'Mn3 B6 Mo3'
_cell_length_a 3.1459
_cell_length_b 3.1459
_cell_length_c 14.0347
_cell_angle_alpha 90.00
_cell_angle_beta 90.00
_cell_angle_gamma 120.00
_symmetry_space_group_name_H-M 'R -3 m'
_symmetry_Int_Tables_number 166
_symmetry_space_group_name_Hall '-R 3 2"'
loop_
_atom_site_label
_atom_site_type_symbol
_atom_site_fract_x
_atom_site_fract_y
_atom_site_fract_z
_atom_site_occupancy
Mn1 Mn 0.0000 0.0000 0.0000 1
B1 B 0.0000 0.0000 0.2591 1
Mo1 Mo 0.0000 0.0000 0.5000 1
```

Computed properties:
Energy relative to the elements = -135 meV per atom
Magnetization = 5.09 Bohr magnetons per cell
Total DFT energy (no corrections) = -8.474 eV/atom
ΔE to the lowest computed polymorph = 324.7 meV per atom